Entry 1:
PbW | PBE | optimized geometry

Cell: 2.9932 2.9932 4.6828 Å, 90.00 90.00 90.00°
With the nearest neighbours (Å) after each atom.
Fractional coordinates of all 2 atoms:
W: 0.5000 0.5000 0.5000  4 W 2.99, 8 Pb 3.16
Pb: 0.0000 0.0000 0.0000  4 Pb 2.99, 8 W 3.16

Results
The total magnetization is 0.00 μB per formula unit. The electronic total energy comes out at -6.841 eV per atom.

=====

Entry 2:
LiVCoNi | PBE | optimized geometry

Cell: 3.9957 3.9957 3.9957 Å, 60.00 60.00 60.00°
With the nearest neighbours (Å) after each atom.
Fractional coordinates of all 4 atoms:
Co: 0.7500 0.7500 0.7500  4 V 2.45, 4 Li 2.45
V: 0.5000 0.5000 0.5000  4 Co 2.45, 4 Ni 2.45
Ni: 0.2500 0.2500 0.2500  4 V 2.45, 4 Li 2.45
Li: 0.0000 0.0000 0.0000  4 Co 2.45, 4 Ni 2.45

Results
The total magnetization is 0.00 μB per formula unit. The electronic total energy comes out at -5.983 eV per atom.